[1]
An optimized crystal structure of IrRuSe2Br. Source: Alexandria via LeMat-Bulk, functional PBE-GGA.

```
5
Lattice="5.029 0.000 0.000 0.000 5.029 0.000 0.000 0.000 4.551" Properties=species:S:1:pos:R:3 pbc="T T T"
Ir 0.000 0.000 0.000
Ru 2.514 2.514 0.000
Se 0.000 2.514 2.275
Se 2.514 0.000 2.275
Br 2.514 2.514 2.275
```

Results
Space-group type: P4/mmm
Formation energy without anion corrections in eV/atom: 2.025
Mass density in Mg/m³: 7.7
V in A^3/atom: 23.02
Distance to the lowest polymorph of the same formula in meV per atom: 929



[2]
An optimized crystal structure of IrRuSeBr2. Source: Alexandria via LeMat-Bulk, functional PBE-GGA.

```
5
Lattice="5.077 0.000 0.000 0.000 5.077 0.000 0.000 0.000 4.662" Properties=species:S:1:pos:R:3 pbc="T T T"
Ir 0.000 0.000 0.000
Ru 2.538 2.538 2.331
Se 2.538 2.538 0.000
Br 0.000 2.538 2.331
Br 2.538 0.000 2.331
```

Results
Space-group type: P4/mmm
Formation energy without anion corrections in eV/atom: 1.213
Mass density in Mg/m³: 7.4
V in A^3/atom: 24.03
Distance to the lowest polymorph of the same formula in meV per atom: 154



[3]
An optimized crystal structure of IrRuSe2Br. Source: Alexandria via LeMat-Bulk, functional PBE-GGA.

```
5
Lattice="4.868 0.000 0.000 0.000 4.868 0.000 0.000 0.000 5.116" Properties=species:S:1:pos:R:3 pbc="T T T"
Ir 0.000 0.000 0.000
Ru 2.434 2.434 2.558
Se 0.000 2.434 0.000
Se 2.434 0.000 0.000
Br 0.000 0.000 2.558
```

Results
Space-group type: P4/mmm
Formation energy without anion corrections in eV/atom: 1.096
Mass density in Mg/m³: 7.3
V in A^3/atom: 24.25
Distance to the lowest polymorph of the same formula in meV per atom: 0



[4]
An optimized crystal structure of Sm8Ir3RuBr4. Source: Alexandria via LeMat-Bulk, functional PBE-GGA.

```
16
Lattice="4.094 2.363 7.747 -4.094 2.363 7.747 0.000 -4.727 7.747" Properties=species:S:1:pos:R:3 pbc="T T T"
Sm 0.000 0.000 5.367
Sm -2.023 -1.168 13.131
Sm 0.000 -2.335 10.111
Sm -2.023 1.168 10.111
Sm 2.023 -1.168 13.131
Sm 0.000 2.335 13.131
Sm 2.023 1.168 10.111
Sm 0.000 0.000 17.875
Ir -4.094 0.000 11.621
Ir -2.047 1.182 3.874
Ir 2.047 1.182 3.874
Ru 0.000 0.000 11.621
Br 0.000 0.000 0.000
Br -2.047 -1.182 7.747
Br -2.047 1.182 15.495
Br 0.000 2.363 7.747
```

Results
Space-group type: R-3m
Formation energy without anion corrections in eV/atom: -1.023
Mass density in Mg/m³: 8.1
V in A^3/atom: 28.11



[5]
An optimized crystal structure of Sm8IrRu3Br4. Source: Alexandria via LeMat-Bulk, functional PBE-GGA.

```
16
Lattice="7.033 -4.057 0.000 7.033 4.057 0.000 -4.703 0.000 7.772" Properties=species:S:1:pos:R:3 pbc="T T T"
Sm 3.494 2.053 5.406
Sm -0.009 0.000 5.414
Sm 2.310 0.000 2.367
Sm 5.869 2.053 2.366
Sm 3.494 -2.053 5.406
Sm 7.053 0.000 5.405
Sm 9.371 0.000 2.358
Sm 5.869 -2.053 2.366
Ir 4.681 0.000 3.886
Ru -2.352 0.000 3.886
Ru 1.165 2.028 3.886
Ru 1.165 -2.028 3.886
Br 0.000 0.000 0.000
Br 3.517 2.028 0.000
Br 3.517 -2.028 0.000
Br 7.033 0.000 0.000
```

Results
Space-group type: C2/m
Formation energy without anion corrections in eV/atom: -0.847
Mass density in Mg/m³: 7.6
V in A^3/atom: 27.72



[6]
An optimized crystal structure of Sm6IrRu2Br3. Source: Alexandria via LeMat-Bulk, functional PBE-GGA.

```
12
Lattice="3.515 -6.089 0.000 3.515 6.089 0.000 -2.344 0.000 7.781" Properties=species:S:1:pos:R:3 pbc="T T T"
Sm -0.013 2.054 6.258
Sm 1.145 0.000 1.525
Sm -0.013 -2.054 6.258
Sm 4.700 2.054 1.523
Sm 3.542 0.000 6.256
Sm 4.700 -2.054 1.523
Ir 3.515 0.000 0.000
Ru 3.515 4.063 0.000
Ru 3.515 -4.063 0.000
Br -1.172 0.000 3.891
Br 2.343 2.049 3.891
Br 2.343 -2.049 3.891
```

Results
Space-group type: C2/m
Formation energy without anion corrections in eV/atom: -0.878
Mass density in Mg/m³: 7.7
V in A^3/atom: 27.76



[7]
An optimized crystal structure of Sm6Ir2RuBr3. Source: Alexandria via LeMat-Bulk, functional PBE-GGA.

```
12
Lattice="3.540 -6.132 0.000 3.540 6.132 0.000 -2.358 0.000 7.749" Properties=species:S:1:pos:R:3 pbc="T T T"
Sm 1.164 2.017 1.508
Sm -0.031 0.000 6.239
Sm 1.164 -2.017 1.508
Sm 3.557 2.017 6.242
Sm 4.752 0.000 1.510
Sm 3.557 -2.017 6.242
Ir 3.540 2.044 0.000
Ir 3.540 -2.044 0.000
Ru 0.000 0.000 0.000
Br 2.361 4.104 3.875
Br 2.361 0.000 3.875
Br 2.361 -4.104 3.875
```

Results
Space-group type: C2/m
Formation energy without anion corrections in eV/atom: -0.995
Mass density in Mg/m³: 8.0
V in A^3/atom: 28.03



[8]
An optimized crystal structure of IrRu2WBr. Source: Alexandria via LeMat-Bulk, functional PBE-GGA.

```
5
Lattice="4.723 0.000 0.000 0.000 4.723 0.000 0.000 0.000 4.724" Properties=species:S:1:pos:R:3 pbc="T T T"
Ir 0.000 0.000 0.000
Ru 0.000 2.362 2.362
Ru 2.362 0.000 2.362
W 2.362 2.362 2.362
Br 2.362 2.362 0.000
```

Results
Space-group type: P4/mmm
Formation energy without anion corrections in eV/atom: 2.058
Mass density in Mg/m³: 10.4
V in A^3/atom: 21.08



[9]
An optimized crystal structure of IrS2Br. Source: Alexandria via LeMat-Bulk, functional PBE-GGA.

```
32
Lattice="4.929 -4.886 0.000 4.929 4.886 0.000 -2.044 0.000 19.853" Properties=species:S:1:pos:R:3 pbc="T T T"
Ir 0.626 0.777 3.844
Ir 2.216 1.930 13.841
Ir -0.396 -0.777 13.770
Ir 4.576 1.930 15.939
Ir 3.238 -1.930 3.914
Ir 8.209 0.777 6.083
Ir 5.598 -1.930 6.012
Ir 7.187 -0.777 16.009
S 2.198 2.151 4.585
S 4.418 4.093 4.963
S 3.171 3.205 12.230
S 0.957 0.555 12.520
S 3.620 3.205 17.550
S 1.979 -0.555 2.593
S 3.396 0.412 14.890
S 1.176 -2.151 14.511
S 6.638 2.151 5.342
S 4.418 -0.412 4.963
S 5.835 0.555 17.260
S 4.193 -3.205 2.303
S 6.857 -0.555 7.333
S 4.642 -3.205 7.623
S 3.396 -4.093 14.890
S 5.616 -2.151 15.269
Br 3.882 2.454 10.077
Br 2.909 2.454 19.703
Br 4.579 1.654 2.402
Br 4.257 1.654 7.525
Br 3.557 -1.654 12.328
Br 3.235 -1.654 17.451
Br 4.904 -2.454 0.150
Br 3.931 -2.454 9.777
```

Results
Space-group type: C2/c
Formation energy without anion corrections in eV/atom: -0.012
Mass density in Mg/m³: 4.7
V in A^3/atom: 29.88
Distance to the lowest polymorph of the same formula in meV per atom: 232



[10]
An optimized crystal structure of IrS2Br. Source: Alexandria via LeMat-Bulk, functional PBE-GGA.

```
8
Lattice="7.857 -1.759 0.000 7.857 1.759 0.000 -5.645 0.000 7.540" Properties=species:S:1:pos:R:3 pbc="T T T"
Ir 0.000 0.000 0.000
Ir -0.056 0.000 4.877
S -0.881 0.000 6.945
S 6.320 0.000 0.722
S 3.611 0.000 7.131
S 9.271 0.000 5.308
Br 1.039 0.000 2.469
Br 6.025 0.000 4.200
```

Results
Space-group type: Cm
Formation energy without anion corrections in eV/atom: -0.206
Mass density in Mg/m³: 5.4
V in A^3/atom: 26.06
Distance to the lowest polymorph of the same formula in meV per atom: 38



[11]
An optimized crystal structure of IrSBr. Source: Alexandria via LeMat-Bulk, functional PBE-GGA.

```
6
Lattice="3.519 0.000 0.000 0.000 6.535 0.000 1.681 3.213 6.517" Properties=species:S:1:pos:R:3 pbc="T T T"
Ir 0.880 1.503 0.041
Ir 4.321 8.245 6.476
S 2.561 2.728 5.359
S 2.640 7.020 1.158
Br 0.880 3.725 1.465
Br 4.320 6.023 5.052
```

Results
Space-group type: P-1
Formation energy without anion corrections in eV/atom: -0.278
Mass density in Mg/m³: 6.7
V in A^3/atom: 24.98
Distance to the lowest polymorph of the same formula in meV per atom: 44



[12]
An optimized crystal structure of IrS2Br. Source: Alexandria via LeMat-Bulk, functional PBE-GGA.

```
4
Lattice="3.790 0.000 0.000 -1.895 3.282 0.000 0.000 0.000 7.834" Properties=species:S:1:pos:R:3 pbc="T T T"
Ir 0.000 0.000 0.000
S 0.000 0.000 2.089
S 0.000 2.188 7.047
Br 1.895 1.094 3.910
```

Results
Space-group type: P3m1
Formation energy without anion corrections in eV/atom: 0.209
Mass density in Mg/m³: 5.7
V in A^3/atom: 24.36
Distance to the lowest polymorph of the same formula in meV per atom: 453